Computed, not measured: an optimized crystal structure of CdOsWO2 at the PBE+U level of DFT.

a b c (Å): 3.8516 5.9214 3.8516
angles (deg): 90.00 90.00 90.00
Fractional coordinates of all 5 atoms:
Os (0.0000, 0.0000, 0.0000)
Cd (0.5000, 0.5000, 0.5000)
O (0.0000, 0.0000, 0.5000)
W (0.0000, 0.5000, 0.0000)
O (0.5000, 0.0000, 0.0000)

Summary:
DOS at the Fermi energy   0.33 states/eV/atom
Calculated total energy   -28.3 eV per cell
Total moment   3.65 μB per formula unit